1.
NaYPb after structural relaxation, computed with PBE.

Structure (CIF):
```
data_NaYPb
_chemical_formula_sum 'Na4 Y4 Pb4'
_cell_length_a 9.1489
_cell_length_b 5.2572
_cell_length_c 8.5778
_cell_angle_alpha 90.00
_cell_angle_beta 110.89
_cell_angle_gamma 90.00
_symmetry_space_group_name_H-M 'C 1 2/m 1'
_symmetry_Int_Tables_number 12
loop_
_symmetry_equiv_pos_as_xyz
'x,y,z'
'-x,-y,-z'
'-x,y,-z'
'x,-y,z'
'x+1/2,y+1/2,z'
'-x+1/2,-y+1/2,-z'
'-x+1/2,y+1/2,-z'
'x+1/2,-y+1/2,z'
loop_
_atom_site_label
_atom_site_fract_x
_atom_site_fract_y
_atom_site_fract_z
Na1 0.2064 0.0000 0.1231
Y1 0.1313 0.5000 0.3967
Pb1 0.0698 0.0000 0.7039
```

Total magnetization ... 0.000 μB/f.u.



2.
NaYPb after structural relaxation, computed with PBE.

Structure (CIF):
```
data_NaYPb
_chemical_formula_sum 'Na2 Y2 Pb2'
_cell_length_a 3.5006
_cell_length_b 3.5006
_cell_length_c 15.0327
_cell_angle_alpha 90.00
_cell_angle_beta 90.00
_cell_angle_gamma 90.00
_symmetry_space_group_name_H-M 'I 4 m m'
_symmetry_Int_Tables_number 107
_symmetry_space_group_name_Hall 'I 4 -2'
loop_
_atom_site_label
_atom_site_fract_x
_atom_site_fract_y
_atom_site_fract_z
Na1 0.0000 0.0000 0.0000
Y1 0.0000 0.0000 0.3031
Pb1 0.0000 0.0000 0.6561
```

Total magnetization ... 0.161 μB/f.u.



Name the most stable of them. 1.



1.
NaYPb after structural relaxation, computed with PBE.

Structure (CIF):
```
data_NaYPb
_chemical_formula_sum 'Na4 Y4 Pb4'
_cell_length_a 5.3198
_cell_length_b 4.0226
_cell_length_c 16.0523
_cell_angle_alpha 90.00
_cell_angle_beta 90.00
_cell_angle_gamma 90.00
_symmetry_space_group_name_H-M 'A m m 2'
_symmetry_Int_Tables_number 38
loop_
_symmetry_equiv_pos_as_xyz
'x,y,z'
'-x,-y,z'
'-x,y,z'
'x,-y,z'
'x,y+1/2,z+1/2'
'-x,-y+1/2,z+1/2'
'-x,y+1/2,z+1/2'
'x,-y+1/2,z+1/2'
loop_
_atom_site_label
_atom_site_fract_x
_atom_site_fract_y
_atom_site_fract_z
Na1 0.0000 0.0000 0.0000
Na2 0.0000 0.0000 0.3402
Y1 0.5000 0.0000 0.1308
Y2 0.5000 0.0000 0.8176
Pb1 0.0000 0.0000 0.6871
Pb2 0.5000 0.0000 0.4698
```

Total magnetization ... 0.356 μB/f.u.



2.
NaYPb after structural relaxation, computed with PBE.

Structure (CIF):
```
data_NaYPb
_chemical_formula_sum 'Na2 Y2 Pb2'
_cell_length_a 5.3504
_cell_length_b 5.1599
_cell_length_c 7.0903
_cell_angle_alpha 90.00
_cell_angle_beta 109.74
_cell_angle_gamma 90.00
_symmetry_space_group_name_H-M 'P 1 2/m 1'
_symmetry_Int_Tables_number 10
loop_
_symmetry_equiv_pos_as_xyz
'x,y,z'
'-x,-y,-z'
'-x,y,-z'
'x,-y,z'
loop_
_atom_site_label
_atom_site_fract_x
_atom_site_fract_y
_atom_site_fract_z
Na1 0.1871 0.0000 0.3749
Y1 0.0000 0.5000 0.0000
Y2 0.5000 0.0000 0.0000
Pb1 0.3778 0.5000 0.7204
```

Total magnetization ... 0.000 μB/f.u.



Name the most stable of them. 1.



1.
NaYPb after structural relaxation, computed with PBE.

Structure (CIF):
```
data_NaYPb
_chemical_formula_sum 'Na4 Y4 Pb4'
_cell_length_a 17.5714
_cell_length_b 5.1224
_cell_length_c 3.8779
_cell_angle_alpha 90.00
_cell_angle_beta 90.15
_cell_angle_gamma 90.00
_symmetry_space_group_name_H-M 'C 1 2/m 1'
_symmetry_Int_Tables_number 12
loop_
_symmetry_equiv_pos_as_xyz
'x,y,z'
'-x,-y,-z'
'-x,y,-z'
'x,-y,z'
'x+1/2,y+1/2,z'
'-x+1/2,-y+1/2,-z'
'-x+1/2,y+1/2,-z'
'x+1/2,-y+1/2,z'
loop_
_atom_site_label
_atom_site_fract_x
_atom_site_fract_y
_atom_site_fract_z
Na1 0.0000 0.0000 0.0000
Na2 0.0000 0.5000 0.5000
Y1 0.1768 0.0000 0.5001
Pb1 0.1551 0.5000 0.0004
```

Total magnetization ... 0.000 μB/f.u.



2.
NaYPb after structural relaxation, computed with PBE.

Structure (CIF):
```
data_NaYPb
_chemical_formula_sum 'Na4 Y4 Pb4'
_cell_length_a 11.3454
_cell_length_b 3.5563
_cell_length_c 9.3709
_cell_angle_alpha 90.00
_cell_angle_beta 110.00
_cell_angle_gamma 90.00
_symmetry_space_group_name_H-M 'C 1 2/m 1'
_symmetry_Int_Tables_number 12
loop_
_symmetry_equiv_pos_as_xyz
'x,y,z'
'-x,-y,-z'
'-x,y,-z'
'x,-y,z'
'x+1/2,y+1/2,z'
'-x+1/2,-y+1/2,-z'
'-x+1/2,y+1/2,-z'
'x+1/2,-y+1/2,z'
loop_
_atom_site_label
_atom_site_fract_x
_atom_site_fract_y
_atom_site_fract_z
Na1 0.1403 0.0000 0.0382
Y1 0.1663 0.0000 0.6034
Pb1 0.0352 0.5000 0.2790
```

Total magnetization ... 0.000 μB/f.u.



Name the most stable of them. 1.